(1)
Material: TiSnIr2
Method: DFT, PBE
State: optimized geometry

```
TiSnIr2
1.0
-1.4910 0.4818 2.5548
-2.5900 -0.5317 -1.4112
0.5529 -7.1065 1.6629
Sn Ti Ir
1 1 2
direct
0.5000 0.5000 0.5000
0.5000 0.5000 0.0000
0.0000 0.0000 0.2269
0.0000 0.0000 0.7731
```

Computed properties:
E_form: -415.0 meV/atom
D(E_F): 4.292 states/eV/cell
Space-group type: No. 123

(2)
Material: BaP2PtO
Method: DFT, PBE
State: optimized geometry

```
BaP2PtO
1.0
5.7124 0.0000 0.0000
0.0000 5.7124 0.0000
0.0000 0.0000 4.2595
Pt P O Ba
1 2 1 1
direct
0.5000 0.5000 0.5000
0.5000 0.0000 0.0000
0.0000 0.5000 0.0000
0.0000 0.0000 0.5000
0.0000 0.0000 0.0000
```

Computed properties:
Formation energy (no corrections): 1.36 eV per atom
D(E_F): 5.505 states/eV/cell
Space-group type: No. 123

(3)
Material: Tb5Dy2Y2
Method: DFT, PBE
State: optimized geometry

```
Tb5Dy2Y2
1.0
3.4980 0.0000 0.0000
-1.7490 11.7585 1.1382
0.0000 4.1130 7.5542
Tb Y Dy
5 2 2
direct
0.9445 0.8891 0.4426
0.7802 0.5605 0.7953
0.0000 0.0000 0.0000
0.2198 0.4395 0.2047
0.0555 0.1109 0.5574
0.8236 0.6471 0.3177
0.1764 0.3529 0.6823
0.6007 0.2015 0.1365
0.3993 0.7985 0.8635
```

Computed properties:
E_form: 138.6 meV/atom
D(E_F): 15.460 states/eV/cell
Space-group type: No. 12

(4)
Material: CaTa
Method: DFT, PBE
State: optimized geometry

```
CaTa
1.0
-0.3150 4.2641 -0.7699
-3.8852 1.7886 -0.7621
-1.8065 2.6146 2.9623
Ta Ca
1 1
direct
0.5000 0.5000 0.5000
0.0000 0.0000 0.0000
```

Computed properties:
E_form: 2122.1 meV/atom
D(E_F): 1.659 states/eV/cell
Space-group type: No. 225

(5)
Material: Ce3Pm2In6
Method: DFT, PBE
State: optimized geometry

```
Ce3Pm2In6
1.0
-3.9335 -4.0909 1.9291
3.7252 -1.4804 4.4565
-4.6686 10.4580 3.3455
In Ce Pm
6 3 2
direct
0.7173 0.7173 0.4347
0.5669 0.0669 0.1339
0.0669 0.5669 0.1339
0.9331 0.4331 0.8661
0.2827 0.2827 0.5653
0.4331 0.9331 0.8661
0.1377 0.1377 0.2753
0.0000 0.0000 0.0000
0.8623 0.8623 0.7247
0.4241 0.4241 0.8483
0.5759 0.5759 0.1517
```

Computed properties:
E_form: 111.4 meV/atom
D(E_F): 27.151 states/eV/cell
Space-group type: No. 139

(6)
Material: TlGa2C
Method: DFT, PBE
State: optimized geometry

```
TlGa2C
1.0
5.9191 0.0000 0.0000
0.0000 5.9191 0.0000
2.9596 2.9596 4.5325
C Ga Tl
2 4 2
direct
0.2500 0.7500 0.5000
0.5000 0.5000 0.0000
0.5027 0.1250 0.2500
0.2473 0.6250 0.2500
0.8750 0.7527 0.7500
0.3750 0.4973 0.7500
0.0000 0.0000 0.0000
0.7500 0.2500 0.5000
```

Computed properties:
E_form: 523.7 meV/atom
D(E_F): 2.892 states/eV/cell
Space-group type: No. 122

(7)
Material: NbTlS3
Method: DFT, PBE
State: optimized geometry

```
NbTlS3
1.0
4.8810 0.0000 0.0000
0.0000 4.8810 0.0000
0.0000 0.0000 4.8810
S Nb Tl
3 1 1
direct
0.0000 0.0000 0.5000
0.0000 0.5000 0.0000
0.5000 0.0000 0.0000
0.0000 0.0000 0.0000
0.5000 0.5000 0.5000
```

Computed properties:
Formation energy (no corrections): -0.58 eV per atom
D(E_F): 2.384 states/eV/cell
Space-group type: No. 221

(8)
Material: Sm6Dy3Ho2Pu
Method: DFT, PBE
State: optimized geometry

```
Sm6Dy3Ho2Pu
1.0
-4.1133 -2.6836 -3.7816
-0.6501 -0.4988 6.1441
-4.8073 10.7224 -0.6828
Ho Pu Sm Dy
2 1 6 3
direct
0.6665 0.3335 0.0000
0.3335 0.6665 0.0000
0.0000 0.0000 0.0000
0.4122 0.0823 0.2480
0.0823 0.4122 0.2480
0.7524 0.7524 0.2479
0.9177 0.5878 0.7520
0.2476 0.2476 0.7521
0.5878 0.9177 0.7520
0.1668 0.8332 0.5000
0.5000 0.5000 0.5000
0.8332 0.1668 0.5000
```

Computed properties:
E_form: 44.7 meV/atom
D(E_F): 22.945 states/eV/cell
Space-group type: No. 12